A plane-wave DFT calculation with PBE was carried out for an optimized crystal structure of CoRhPb.

The structure belongs to space group I4mm (No. 107); the cell edges are 3.171, 3.171 and 10.220 Å and the angles 90.00°, 90.00° and 90.00°. The distinct sites, in fractional coordinates, are Co at (0.000, 0.000, 0.000), Rh at (0.000, 0.000, 0.378) and Pb at (0.000, 0.000, 0.685).

The total energy comes out at -0.2093 Ha/atom. Its calculated density is 11.93 g/cm³. As for the relative energy among the computed polymorphs: 21.3 meV/atom. Its density of states at the Fermi level is 1.35 states/eV/atom.

***

A plane-wave DFT calculation with PBE was carried out for an optimized crystal structure of Ac4Ga2Sn5.

The structure belongs to space group P2/m (No. 10); the cell edges are 7.798, 4.807 and 9.165 Å and the angles 90.00°, 90.50° and 90.00°. The distinct sites, in fractional coordinates, are Ac at (0.224, 0.000, 0.365), Ac at (0.244, 0.000, 0.891), Ga at (0.084, 0.500, 0.121), Sn at (0.120, 0.500, 0.630), Sn at (0.439, 0.500, 0.156) and Sn at (0.500, 0.500, 0.500).

The total energy comes out at -0.1664 Ha/atom. Its calculated density is 7.93 g/cm³. Its density of states at the Fermi level is 0.29 states/eV/atom.

***

A plane-wave DFT calculation with PBE was carried out for an optimized crystal structure of SrH2Cl.

The structure belongs to space group Pmmm (No. 47); the cell edges are 3.753, 4.647 and 4.829 Å and the angles 90.00°, 90.00° and 90.00°. The distinct sites, in fractional coordinates, are Sr at (0.000, 0.000, 0.000), H at (0.118, 0.000, 0.500) and Cl at (0.500, 0.500, 0.000).

The total energy comes out at -0.1215 Ha/atom. Its calculated density is 2.47 g/cm³. As for the relative energy among the computed polymorphs: 0.0 meV/atom. Its density of states at the Fermi level is 0.25 states/eV/atom.

***

A plane-wave DFT calculation with PBE was carried out for an optimized crystal structure of Tb6Pm2Y3Zr.

The structure belongs to space group C2/m (No. 12); the cell edges are 6.140, 10.619 and 11.741 Å and the angles 90.00°, 99.94° and 90.00°. The distinct sites, in fractional coordinates, are Tb at (0.244, 0.000, 0.254), Tb at (0.245, 0.163, 0.746), Pm at (0.000, 0.333, 0.500), Y at (0.000, 0.166, 0.000), Y at (0.000, 0.500, 0.000) and Zr at (0.000, 0.000, 0.500).

The total energy comes out at -0.1978 Ha/atom. Its calculated density is 7.05 g/cm³. Its density of states at the Fermi level is 1.29 states/eV/atom.

***

A plane-wave DFT calculation with PBE was carried out for an optimized crystal structure of TaTiOsPdPb.

The structure belongs to space group Cm (No. 8); the cell edges are 9.593, 3.199 and 7.085 Å and the angles 90.00°, 124.61° and 90.00°. The distinct sites, in fractional coordinates, are Ta at (0.000, 0.000, 0.000), Ti at (0.148, 0.500, 0.483), Os at (0.409, 0.000, 0.655), Pd at (0.205, 0.000, 0.827) and Pb at (0.330, 0.500, 0.248).

The total energy comes out at -0.2956 Ha/atom. Its calculated density is 13.60 g/cm³. As for the relative energy among the computed polymorphs: 126.7 meV/atom. Its density of states at the Fermi level is 0.66 states/eV/atom.

***

A plane-wave DFT calculation with PBE was carried out for an optimized crystal structure of Ti4P6PbO24.

The structure belongs to space group R-3 (No. 148, hexagonal axes); the cell edges are 8.4975, 8.4975 and 22.8423 Å and the angles 90.00°, 90.00° and 120.00°. The distinct sites, in fractional coordinates, are Ti at (0.0000, 0.0000, 0.1442), Ti at (0.0000, 0.0000, 0.3498), P at (0.0025, 0.2846, 0.2482), Pb at (0.0000, 0.0000, 0.5000), O at (0.0009, 0.8193, 0.4083), O at (0.0198, 0.8237, 0.6949), O at (0.0581, 0.2116, 0.9019) and O at (0.0647, 0.2132, 0.1964).

The total energy comes out at -0.2878 Ha/atom. Its calculated density is 3.38 g/cm³. For the energy relative to the elements, uncorrected, the calculation gives -2.50 eV/atom. Its density of states at the Fermi level is 0.00 states/eV/atom.